No. 1
The following is a PBE calculation of a relaxed ZnTc2Ir2 crystal, from Alexandria via LeMat-Bulk.

Results
**Crystal system**: tetragonal
**E above lowest polymorph**: 0.1987 eV/atom
**E_form**: 0.3159 eV/atom

a = 3.5284 Å, b = 3.5284 Å, c = 6.9621 Å
α = 75.32°, β = 75.32°, γ = 90.00°
Element x y z (fractional)
Zn (0.0000, 0.0000, 0.0000)
Tc (0.2500, 0.7500, 0.5000)
Tc (0.7500, 0.2500, 0.5000)
Ir (0.4017, 0.4017, 0.1965)
Ir (0.5983, 0.5983, 0.8035)



No. 2
The following is a PBE calculation of a relaxed LiFeBr2 crystal, from Alexandria via LeMat-Bulk.

Results
**Crystal system**: orthorhombic
**E_form (uncorrected)**: -387 meV per atom
**E above lowest polymorph**: 0.1399 eV/atom

a = 5.5569 Å, b = 5.5569 Å, c = 5.5569 Å
α = 140.25°, β = 94.14°, γ = 99.15°
Element x y z (fractional)
Fe (0.7500, 0.2500, 0.5000)
Li (0.2500, 0.7500, 0.5000)
Br (0.5123, 0.5123, 0.0000)
Br (0.9877, 0.9877, 0.0000)



No. 3
The following is a PBE calculation of a relaxed Tl2Sb crystal, from Alexandria via LeMat-Bulk.

Results
**Crystal system**: orthorhombic
**E_form (uncorrected)**: 8 meV per atom
**E above lowest polymorph**: 0.0274 eV/atom

a = 5.2535 Å, b = 7.6199 Å, c = 9.5685 Å
α = 90.00°, β = 90.00°, γ = 90.00°
Element x y z (fractional)
Sb (0.2500, 0.7426, 0.3997)
Tl (0.7500, 0.4776, 0.3054)
Sb (0.7500, 0.2574, 0.6003)
Sb (0.7500, 0.7574, 0.8997)
Tl (0.2500, 0.1585, 0.4266)
Tl (0.7500, 0.9776, 0.1946)
Tl (0.2500, 0.0224, 0.8054)
Tl (0.7500, 0.8415, 0.5734)
Sb (0.2500, 0.2426, 0.1003)
Tl (0.2500, 0.5224, 0.6946)
Tl (0.7500, 0.3415, 0.9266)
Tl (0.2500, 0.6585, 0.0734)



No. 4
The following is a PBE calculation of a relaxed Ba6As2PtCl3 crystal, from Alexandria via LeMat-Bulk.

Results
**Crystal system**: monoclinic
**E_form (uncorrected)**: -1573 meV per atom

a = 4.6949 Å, b = 9.5531 Å, c = 10.4783 Å
α = 103.39°, β = 102.95°, γ = 90.00°
Element x y z (fractional)
Ba (0.6566, 0.0964, 0.3132)
Ba (0.3434, 0.9036, 0.6868)
Ba (0.0024, 0.2347, 0.0048)
As (0.1645, 0.3345, 0.3290)
Ba (0.9976, 0.7653, 0.9952)
Ba (0.3286, 0.4275, 0.6571)
Pt (0.5000, 0.0000, 0.0000)
As (0.8355, 0.6655, 0.6710)
Cl (0.5000, 0.5000, 0.0000)
Cl (0.1699, 0.8354, 0.3398)
Cl (0.8301, 0.1646, 0.6602)
Ba (0.6714, 0.5725, 0.3429)



No. 5
The following is a PBE calculation of a relaxed Tb2BiTe crystal, from Alexandria via LeMat-Bulk.

Results
**Crystal system**: tetragonal
**E_form (uncorrected)**: -1124 meV per atom
**E above lowest polymorph**: 0.0000 eV/atom

a = 6.2723 Å, b = 6.2723 Å, c = 12.5289 Å
α = 90.00°, β = 90.00°, γ = 90.00°
Element x y z (fractional)
Bi (0.7499, 0.5000, 0.8750)
Te (0.2499, 0.5000, 0.6250)
Tb (0.7501, 0.0000, 0.3759)
Tb (0.2502, 0.5000, 0.3741)
Tb (0.2502, 0.0000, 0.1259)
Bi (0.2501, 0.5000, 0.1250)
Te (0.7501, 0.0000, 0.1250)
Tb (0.7498, 0.0000, 0.8741)
Tb (0.7498, 0.5000, 0.6259)
Bi (0.7499, 0.0000, 0.6250)
Te (0.2499, 0.0000, 0.8750)
Bi (0.2501, 0.0000, 0.3750)
Te (0.7501, 0.5000, 0.3750)
Tb (0.7501, 0.5000, 0.1241)
Tb (0.2499, 0.0000, 0.6241)
Tb (0.2499, 0.5000, 0.8759)



No. 6
The following is a PBE calculation of a relaxed ScBTe crystal, from Alexandria via LeMat-Bulk.

Results
**Crystal system**: trigonal
**E_form (uncorrected)**: -705 meV per atom

a = 3.2895 Å, b = 3.2895 Å, c = 12.2548 Å
α = 82.29°, β = 82.29°, γ = 60.00°
Element x y z (fractional)
Sc (0.4540, 0.4540, 0.6381)
B (0.8342, 0.8342, 0.4973)
B (0.1658, 0.1658, 0.5027)
Te (0.2769, 0.2769, 0.1694)
Sc (0.5460, 0.5460, 0.3619)
Te (0.7231, 0.7231, 0.8306)



Please write out number 6 again, unchanged.
The following is a PBE calculation of a relaxed ScBTe crystal, from Alexandria via LeMat-Bulk.

Results
**Crystal system**: trigonal
**E_form (uncorrected)**: -705 meV per atom

a = 3.2895 Å, b = 3.2895 Å, c = 12.2548 Å
α = 82.29°, β = 82.29°, γ = 60.00°
Element x y z (fractional)
Sc (0.4540, 0.4540, 0.6381)
B (0.8342, 0.8342, 0.4973)
B (0.1658, 0.1658, 0.5027)
Te (0.2769, 0.2769, 0.1694)
Sc (0.5460, 0.5460, 0.3619)
Te (0.7231, 0.7231, 0.8306)